A relaxed Na2FeO4 crystal, computed with PBE+U.

Computed properties:
The space group is No. 63. The energy above the lowest structure with this stoichiometry comes out at 0 meV/atom.

Geometry as POSCAR:
```
Na2FeO4
1.0
2.940 -4.668 0.000
2.940 4.668 0.000
0.000 0.000 7.222
Na Fe O
4 2 8
Cartesian
0.000 0.000 0.000
0.000 0.000 3.611
2.940 1.694 5.416
2.940 -1.694 1.805
2.940 1.375 1.805
2.940 -1.375 5.416
1.584 0.395 1.805
2.940 2.334 0.462
2.940 2.334 3.148
1.584 -0.395 5.416
4.297 0.395 1.805
2.940 -2.334 4.073
2.940 -2.334 6.759
4.297 -0.395 5.416
```